# MgOsS2 (PBE, relaxed)
data_MgOsS2
_chemical_formula_sum 'Mg3 Os3 S6'
_cell_length_a 3.6084
_cell_length_b 3.6084
_cell_length_c 21.9875
_cell_angle_alpha 90.00
_cell_angle_beta 90.00
_cell_angle_gamma 120.00
_space_group_name_H-M_alt 'R -3 m'
_space_group_IT_number 166
_space_group_name_Hall '-R 3 2"'
loop_
_atom_site_label
_atom_site_type_symbol
_atom_site_fract_x
_atom_site_fract_y
_atom_site_fract_z
Mg1 Mg 0.0000 0.0000 0.0000
Os1 Os 0.0000 0.0000 0.5000
S1 S 0.0000 0.0000 0.1138
# Calculated density ... 5.6 g cm⁻³
# Energy relative to the elements, uncorrected ... -0.57 eV/f.u.
# Magnetic moment ... 0.0 Bohr magnetons per cell
# Calculated volume ... 247.9 Å³ per cell
# Total energy ... -64.95 eV for the cell shown